1.
This record from Alexandria describes an optimized crystal structure of Mo2OsPt. The functional is PBE. Values from VASP.

Results
Density in g cm⁻³: 15.74
Relative energy among the computed polymorphs in meV per atom: 18

```
&SYSTEM
  ibrav = 0, nat = 4, ntyp = 3
/
ATOMIC_SPECIES
Mo 95.94 Mo.upf
Pt 195.08 Pt.upf
Os 190.23 Os.upf
CELL_PARAMETERS angstrom
4.483 0.000 0.000
0.000 2.800 -0.002
0.000 0.004 4.853
ATOMIC_POSITIONS crystal
Mo 0.000 0.125 0.956
Mo 0.500 0.125 0.297
Pt 0.500 0.625 0.798
Os 0.000 0.625 0.449
```


2.
This record from Alexandria describes an optimized crystal structure of Th2Zn2Ge4Os. The functional is PBE. Values from VASP.

Results
Density in g cm⁻³: 10.11

```
&SYSTEM
  ibrav = 0, nat = 9, ntyp = 4
/
ATOMIC_SPECIES
Os 190.23 Os.upf
Th 232.04 Th.upf
Zn 65.41 Zn.upf
Ge 72.64 Ge.upf
CELL_PARAMETERS angstrom
-1.427 4.313 4.322
4.182 -4.456 1.404
3.277 1.723 -5.061
ATOMIC_POSITIONS crystal
Os 0.000 0.000 0.000
Th 0.500 0.750 0.250
Th 0.500 0.250 0.750
Zn 0.000 0.293 0.293
Zn 0.000 0.707 0.707
Ge 0.444 0.722 0.722
Ge 0.000 0.722 0.278
Ge 0.000 0.278 0.722
Ge 0.556 0.278 0.278
```


no.,total DFT energy (no corrections) (eV per atom),M_tot (Bohr magnetons per cell)
1,-9.882,0.0
2,-5.599,0.0